The following is a DFT calculation (PBE) of an optimized crystal structure of URe2.

Computed properties:
Energy of formation: 62 meV/atom
Density of states at the Fermi level: 13.9 states/eV/cell
Offset from the most stable computed form: 0.23 eV/f.u.

Geometry as POSCAR:
```
URe2
1.0
0.0000 3.8009 3.8009
3.8009 0.0000 3.8009
3.8009 3.8009 0.0000
U Re
2 4
Direct
0.1250 0.1250 0.1250 U
0.8750 0.8750 0.8750 U
0.0000 0.5000 0.5000 Re
0.5000 0.0000 0.5000 Re
0.5000 0.5000 0.0000 Re
0.5000 0.5000 0.5000 Re
```

***

The following is a DFT calculation (PBE) of an optimized crystal structure of BaTlCr2.

Computed properties:
Energy of formation: 834 meV/atom
Density of states at the Fermi level: 2.9 states/eV/cell
Offset from the most stable computed form: 1.78 eV/f.u.

Geometry as POSCAR:
```
BaTlCr2
1.0
5.1022 0.0000 0.0000
0.0000 5.1022 0.0000
0.0000 0.0000 4.2366
Ba Tl Cr
1 1 2
Direct
0.0000 0.0000 0.0000 Ba
0.5000 0.5000 0.0000 Tl
0.0000 0.5000 0.5000 Cr
0.5000 0.0000 0.5000 Cr
```

***

The following is a DFT calculation (PBE) of an optimized crystal structure of Hf2Tl2Cu.

Computed properties:
Energy of formation: 309 meV/atom
Density of states at the Fermi level: 9.7 states/eV/cell

Geometry as POSCAR:
```
Hf2Tl2Cu
1.0
6.9232 0.0000 0.0000
0.0000 6.9232 0.0000
0.0000 0.0000 4.7753
Hf Tl Cu
4 4 2
Direct
0.1566 0.3434 0.0000 Hf
0.3434 0.8434 0.0000 Hf
0.6566 0.1566 0.0000 Hf
0.8434 0.6566 0.0000 Hf
0.1618 0.6618 0.5000 Tl
0.3382 0.1618 0.5000 Tl
0.6618 0.8382 0.5000 Tl
0.8382 0.3382 0.5000 Tl
0.0000 0.0000 0.0000 Cu
0.5000 0.5000 0.0000 Cu
```

***

The following is a DFT calculation (PBE) of an optimized crystal structure of LiMgBeZn.

Computed properties:
Energy of formation: 26 meV/atom
Density of states at the Fermi level: 0.8 states/eV/cell

Geometry as POSCAR:
```
LiMgBeZn
1.0
0.0000 3.0259 3.0259
3.0259 0.0000 3.0259
3.0259 3.0259 0.0000
Li Mg Be Zn
1 1 1 1
Direct
0.0000 0.0000 0.0000 Li
0.2500 0.2500 0.2500 Mg
0.5000 0.5000 0.5000 Be
0.7500 0.7500 0.7500 Zn
```

***

The following is a DFT calculation (PBE) of an optimized crystal structure of ErTmMgGa.

Computed properties:
Energy of formation: -323 meV/atom
Density of states at the Fermi level: 2.4 states/eV/cell

Geometry as POSCAR:
```
ErTmMgGa
1.0
0.0000 3.6123 3.6123
3.6123 0.0000 3.6123
3.6123 3.6123 0.0000
Er Tm Mg Ga
1 1 1 1
Direct
0.0000 0.0000 0.0000 Er
0.5000 0.5000 0.5000 Tm
0.2500 0.2500 0.2500 Mg
0.7500 0.7500 0.7500 Ga
```

***

The following is a DFT calculation (PBE) of an optimized crystal structure of Tm3In5S12.

Computed properties:
Formation energy without anion corrections: -1.05 eV per atom

Geometry as POSCAR:
```
Tm3In5S12
1.0
-7.8083 7.8083 7.8083
7.8083 -7.8083 7.8083
7.8083 7.8083 -7.8083
Tm In S
12 20 48
Direct
0.1250 0.2500 0.3750 Tm
0.1250 0.3750 0.7500 Tm
0.2500 0.3750 0.1250 Tm
0.2500 0.8750 0.6250 Tm
0.3750 0.1250 0.2500 Tm
0.3750 0.7500 0.1250 Tm
0.6250 0.2500 0.8750 Tm
0.6250 0.8750 0.7500 Tm
0.7500 0.1250 0.3750 Tm
0.7500 0.6250 0.8750 Tm
0.8750 0.6250 0.2500 Tm
0.8750 0.7500 0.6250 Tm
0.0000 0.0000 0.0000 In
0.0000 0.0000 0.5000 In
0.0000 0.5000 0.0000 In
0.0000 0.5000 0.5000 In
0.1250 0.7500 0.8750 In
0.1250 0.8750 0.2500 In
0.2500 0.1250 0.8750 In
0.2500 0.6250 0.3750 In
0.3750 0.2500 0.6250 In
0.3750 0.6250 0.7500 In
0.5000 0.0000 0.0000 In
0.5000 0.0000 0.5000 In
0.5000 0.5000 0.0000 In
0.5000 0.5000 0.5000 In
0.6250 0.3750 0.2500 In
0.6250 0.7500 0.3750 In
0.7500 0.3750 0.6250 In
0.7500 0.8750 0.1250 In
0.8750 0.1250 0.7500 In
0.8750 0.2500 0.1250 In
0.0460 0.2193 0.1325 S
0.0460 0.3267 0.9135 S
0.0865 0.6325 0.4132 S
0.0865 0.9540 0.6733 S
0.0868 0.7193 0.6733 S
0.0868 0.8675 0.4135 S
0.1325 0.0460 0.2193 S
0.1325 0.5865 0.9132 S
0.1733 0.2193 0.5868 S
0.1733 0.4540 0.5865 S
0.2193 0.1325 0.0460 S
0.2193 0.5868 0.1733 S
0.2807 0.3267 0.9132 S
0.2807 0.4540 0.3675 S
0.3267 0.9132 0.2807 S
0.3267 0.9135 0.0460 S
0.3675 0.2807 0.4540 S
0.3675 0.5868 0.9135 S
0.4132 0.0865 0.6325 S
0.4132 0.8267 0.7807 S
0.4135 0.0868 0.8675 S
0.4135 0.8267 0.5460 S
0.4540 0.3675 0.2807 S
0.4540 0.5865 0.1733 S
0.5460 0.4135 0.8267 S
0.5460 0.6325 0.7193 S
0.5865 0.1733 0.4540 S
0.5865 0.9132 0.1325 S
0.5868 0.1733 0.2193 S
0.5868 0.9135 0.3675 S
0.6325 0.4132 0.0865 S
0.6325 0.7193 0.5460 S
0.6733 0.0865 0.9540 S
0.6733 0.0868 0.7193 S
0.7193 0.5460 0.6325 S
0.7193 0.6733 0.0868 S
0.7807 0.4132 0.8267 S
0.7807 0.8675 0.9540 S
0.8267 0.5460 0.4135 S
0.8267 0.7807 0.4132 S
0.8675 0.4135 0.0868 S
0.8675 0.9540 0.7807 S
0.9132 0.1325 0.5865 S
0.9132 0.2807 0.3267 S
0.9135 0.0460 0.3267 S
0.9135 0.3675 0.5868 S
0.9540 0.6733 0.0865 S
0.9540 0.7807 0.8675 S
```

***

The following is a DFT calculation (PBE) of an optimized crystal structure of Ho3Si3Au.

Computed properties:
Density of states at the Fermi level: 5.7 states/eV/cell
Formation energy without anion corrections: -0.81 eV per atom

Geometry as POSCAR:
```
Ho3Si3Au
1.0
5.2569 -2.1414 0.0000
5.2569 2.1414 0.0000
-4.7276 0.0000 12.8156
Ho Si Au
6 6 2
Direct
0.0276 0.0276 0.3749 Ho
0.1062 0.1062 0.9256 Ho
0.2409 0.2409 0.2204 Ho
0.7591 0.7591 0.7796 Ho
0.8938 0.8938 0.0744 Ho
0.9724 0.9724 0.6251 Ho
0.3775 0.3775 0.4562 Si
0.3897 0.3897 0.9258 Si
0.4733 0.4733 0.7761 Si
0.5267 0.5267 0.2239 Si
0.6103 0.6103 0.0742 Si
0.6225 0.6225 0.5438 Si
0.2565 0.2565 0.6088 Au
0.7435 0.7435 0.3912 Au
```

***

The following is a DFT calculation (PBE) of an optimized crystal structure of InNiMo2.

Computed properties:
Energy of formation: 264 meV/atom
Density of states at the Fermi level: 3.2 states/eV/cell

Geometry as POSCAR:
```
InNiMo2
1.0
-2.0032 2.0032 3.9351
2.0032 -2.0032 3.9351
2.0032 2.0032 -3.9351
In Ni Mo
1 1 2
Direct
0.0000 0.0000 0.0000 In
0.7500 0.2500 0.5000 Ni
0.2500 0.7500 0.5000 Mo
0.5000 0.5000 0.0000 Mo
```